4
Lattice="-0.464 0.319 -3.306 0.509 -3.292 -0.389 -6.883 -1.165 0.853" Properties=species:S:1:pos:R:3 comment="PBE Mn2SbSe, optimized geometry" formation_energy_uncorrected_ev_per_atom=-0.106 e_tot_ev_per_atom=-6.593 spacegroup="P4mm, No. 99" mass_density_g_cm3=6.5 pbc="T T T"
Sb -2.823 -0.478 0.350
Se -5.937 -2.495 -1.108
Mn -1.475 -1.740 -1.661
Mn -0.045 -0.008 0.006